A plane-wave DFT calculation with PBE-GGA was carried out for a relaxed NdTm4Sc8 crystal.

```
NdTm4Sc8
1.0
7.1752 -1.0893 1.2579
0.8601 7.2063 1.2579
-1.4310 -1.0893 7.1427
Sc Tm Nd
8 4 1
Direct
0.2393 0.7620 0.7620
0.2380 0.7607 0.2380
0.7607 0.2380 0.2380
0.7616 0.7616 0.7616
0.2384 0.2384 0.2384
0.2380 0.2380 0.7607
0.7620 0.2393 0.7620
0.7620 0.7620 0.2393
0.0000 0.0000 0.0000
0.5000 0.0000 0.5000
0.0000 0.5000 0.5000
0.5000 0.5000 0.0000
0.5000 0.5000 0.5000
```

Output
The calculation puts the formation energy at 7.9 eV/f.u. Its volume is 30.7 Å³/atom. The total energy is -65.45 eV per cell.

---

A plane-wave DFT calculation with PBE-GGA was carried out for a relaxed CaCr2Bi crystal.

```
CaCr2Bi
1.0
-3.0912 2.1982 -7.4341
6.6171 -3.4215 -3.7631
0.2402 -3.3594 -5.7779
Cr Bi Ca
4 2 2
Direct
0.8750 0.9124 0.7500
0.0876 0.6250 0.2500
0.6624 0.1250 0.2500
0.3750 0.3376 0.7500
0.7500 0.2500 0.5000
0.0000 0.0000 0.0000
0.2500 0.7500 0.5000
0.5000 0.5000 0.0000
```

Output
The calculation puts the formation energy at 2.8 eV/f.u. Its volume is 27.4 Å³/atom. The total energy is -44.63 eV per cell.

---

A plane-wave DFT calculation with PBE-GGA was carried out for a relaxed Be2H6Pb crystal.

```
Be2H6Pb
1.0
4.0295 -0.0001 2.3262
1.3431 3.7989 2.3262
-0.0001 0.0000 4.6525
Be H Pb
2 6 1
Direct
0.7500 0.7500 0.7500
0.2500 0.2500 0.2500
0.6489 0.3511 0.3511
0.3511 0.3511 0.6489
0.6489 0.3511 0.6489
0.3511 0.6489 0.6489
0.6489 0.6489 0.3511
0.3511 0.6489 0.3511
0.0000 0.0000 0.0000
```

Output
Its volume is 7.9 Å³/atom. The total energy is -21.31 eV per cell.

---

A plane-wave DFT calculation with PBE-GGA was carried out for a relaxed SrCaAu2 crystal.

```
SrCaAu2
1.0
-4.0530 1.0146 -1.4192
-1.7185 -2.9406 2.8054
-0.4254 4.4267 4.3794
Au Sr Ca
2 1 1
Direct
0.5000 0.5000 0.3747
0.0000 0.0000 0.8754
0.5000 0.5000 0.8745
0.0000 0.0000 0.3754
```

Output
The calculation puts the formation energy at -2.7 eV/f.u. Its volume is 30.4 Å³/atom. The total energy is -12.89 eV per cell.